A relaxed structure of Mn3I3O. Source: Alexandria via LeMat-Bulk, functional PBE+U.

Cell lengths 7.806, 14.117, 10.693 Å; angles 90.00, 131.47, 90.00 degrees
Fractional positions:
Mn  0.086  0.101  0.191
Mn  0.086  0.399  0.691
Mn  0.398  0.554  0.229
Mn  0.398  0.595  0.906
Mn  0.398  0.905  0.406
Mn  0.398  0.946  0.729
Mn  0.602  0.054  0.271
Mn  0.602  0.095  0.594
Mn  0.602  0.405  0.094
Mn  0.602  0.446  0.771
Mn  0.914  0.601  0.309
Mn  0.914  0.899  0.809
I  0.095  0.088  0.896
I  0.095  0.412  0.396
I  0.173  0.132  0.508
I  0.173  0.368  0.008
I  0.297  0.721  0.497
I  0.297  0.779  0.997
I  0.703  0.221  0.003
I  0.703  0.279  0.503
I  0.827  0.632  0.992
I  0.827  0.868  0.492
I  0.905  0.588  0.604
I  0.905  0.912  0.104
O  0.413  0.050  0.346
O  0.413  0.450  0.846
O  0.587  0.550  0.154
O  0.587  0.950  0.654

Output
The value obtained for the calculated total energy is -5.1592 eV per atom. Its density of states at the Fermi level is 0.8 states/eV/f.u. Its space group is P2_1/c, No. 14.